# Re2SiO | Alexandria via LeMat-Bulk | meta-GGA SCAN | PBEsol geometry
# final energy: -629.6 eV for the cell shown
# raw formation energy: 262.6 meV per atom
data_Re2SiO
_chemical_formula_sum 'Re8 Si4 O4'
_symmetry_space_group_name_H-M 'I -4 2 d'
_symmetry_Int_Tables_number 122
_symmetry_space_group_name_Hall 'I -4 2bw'
_cell_length_a 6.288
_cell_length_b 6.288
_cell_length_c 5.169
_cell_angle_alpha 90.00
_cell_angle_beta 90.00
_cell_angle_gamma 90.00
loop_
_atom_site_label
_atom_site_type_symbol
_atom_site_fract_x
_atom_site_fract_y
_atom_site_fract_z
_atom_site_occupancy
Re1 Re 0.164 0.750 0.125 1
Si1 Si 0.000 0.000 0.500 1
O1 O 0.000 0.000 0.000 1


# Sm2ReO5 | Alexandria via LeMat-Bulk | meta-GGA SCAN | PBEsol geometry
# final energy: -861.6 eV for the cell shown
# raw formation energy: -3033.7 meV per atom
data_Sm2ReO5
_chemical_formula_sum 'Sm8 Re4 O20'
_symmetry_space_group_name_H-M 'P 4/n'
_symmetry_Int_Tables_number 85
_cell_length_a 8.589
_cell_length_b 8.589
_cell_length_c 5.721
_cell_angle_alpha 90.00
_cell_angle_beta 90.00
_cell_angle_gamma 90.00
loop_
_symmetry_equiv_pos_as_xyz
'x,y,z'
'-x,-y,-z'
'-y+1/2,x,z'
'y+1/2,-x,-z'
'-x+1/2,-y+1/2,z'
'x+1/2,y+1/2,-z'
'y,-x+1/2,z'
'-y,x+1/2,-z'
loop_
_atom_site_label
_atom_site_type_symbol
_atom_site_fract_x
_atom_site_fract_y
_atom_site_fract_z
_atom_site_occupancy
Sm1 Sm 0.100 0.607 0.250 1
Re1 Re 0.250 0.250 0.152 1
Re2 Re 0.250 0.250 0.546 1
O1 O 0.048 0.160 0.606 1
O2 O 0.048 0.341 0.100 1
O3 O 0.250 0.750 0.000 1
O4 O 0.250 0.750 0.500 1


# Sm3Re2O9 | Alexandria via LeMat-Bulk | meta-GGA SCAN | PBEsol geometry
# final energy: -742.5 eV for the cell shown
# raw formation energy: -2832.0 meV per atom
data_Sm3Re2O9
_chemical_formula_sum 'Sm6 Re4 O18'
_symmetry_space_group_name_H-M 'P -1'
_symmetry_Int_Tables_number 2
_symmetry_space_group_name_Hall '-P 1'
_cell_length_a 5.486
_cell_length_b 6.776
_cell_length_c 10.818
_cell_angle_alpha 76.74
_cell_angle_beta 75.45
_cell_angle_gamma 68.50
loop_
_atom_site_label
_atom_site_type_symbol
_atom_site_fract_x
_atom_site_fract_y
_atom_site_fract_z
_atom_site_occupancy
Sm1 Sm 0.010 0.213 0.269 1
Sm2 Sm 0.232 0.154 0.884 1
Sm3 Sm 0.300 0.605 0.370 1
Re1 Re 0.344 0.127 0.569 1
Re2 Re 0.482 0.614 0.906 1
O1 O 0.056 0.116 0.722 1
O2 O 0.069 0.204 0.475 1
O3 O 0.126 0.814 0.939 1
O4 O 0.181 0.498 0.202 1
O5 O 0.284 0.426 0.578 1
O6 O 0.343 0.472 0.818 1
O7 O 0.392 0.166 0.074 1
O8 O 0.409 0.806 0.598 1
O9 O 0.413 0.924 0.312 1


# Sm3ReO8 | Alexandria via LeMat-Bulk | meta-GGA SCAN | PBEsol geometry
# final energy: -1164.7 eV for the cell shown
# raw formation energy: -3075.2 meV per atom
data_Sm3ReO8
_chemical_formula_sum 'Sm12 Re4 O32'
_symmetry_space_group_name_H-M 'P 1 21/c 1'
_symmetry_Int_Tables_number 14
_symmetry_space_group_name_Hall '-P 2ybc'
_cell_length_a 7.285
_cell_length_b 6.086
_cell_length_c 14.586
_cell_angle_alpha 90.00
_cell_angle_beta 110.73
_cell_angle_gamma 90.00
loop_
_atom_site_label
_atom_site_type_symbol
_atom_site_fract_x
_atom_site_fract_y
_atom_site_fract_z
_atom_site_occupancy
Sm1 Sm 0.096 0.240 0.201 1
Sm2 Sm 0.163 0.199 0.447 1
Sm3 Sm 0.397 0.685 0.334 1
Re1 Re 0.321 0.746 0.091 1
O1 O 0.089 0.697 0.981 1
O2 O 0.145 0.030 0.841 1
O3 O 0.168 0.651 0.170 1
O4 O 0.187 0.530 0.827 1
O5 O 0.250 0.045 0.096 1
O6 O 0.380 0.049 0.590 1
O7 O 0.468 0.203 0.788 1
O8 O 0.478 0.696 0.521 1


# Re3SnO | Alexandria via LeMat-Bulk | meta-GGA SCAN | PBEsol geometry
# final energy: -236.4 eV for the cell shown
# raw formation energy: 3816.7 meV per atom
# relative energy among the computed polymorphs: 3037 meV/atom
data_Re3SnO
_chemical_formula_sum 'Re3 Sn1 O1'
_symmetry_space_group_name_H-M 'P m -3 m'
_symmetry_Int_Tables_number 221
_symmetry_space_group_name_Hall '-P 4 2 3'
_cell_length_a 4.824
_cell_length_b 4.824
_cell_length_c 4.824
_cell_angle_alpha 90.00
_cell_angle_beta 90.00
_cell_angle_gamma 90.00
loop_
_atom_site_label
_atom_site_type_symbol
_atom_site_fract_x
_atom_site_fract_y
_atom_site_fract_z
_atom_site_occupancy
Re1 Re 0.000 0.000 0.500 1
Sn1 Sn 0.000 0.000 0.000 1
O1 O 0.500 0.500 0.500 1


# Re3SnO | Alexandria via LeMat-Bulk | meta-GGA SCAN | PBEsol geometry
# final energy: -251.5 eV for the cell shown
# raw formation energy: 780.0 meV per atom
# relative energy among the computed polymorphs: 0 meV/atom
data_Re3SnO
_chemical_formula_sum 'Re3 Sn1 O1'
_symmetry_space_group_name_H-M 'P m -3 m'
_symmetry_Int_Tables_number 221
_symmetry_space_group_name_Hall '-P 4 2 3'
_cell_length_a 4.130
_cell_length_b 4.130
_cell_length_c 4.130
_cell_angle_alpha 90.00
_cell_angle_beta 90.00
_cell_angle_gamma 90.00
loop_
_atom_site_label
_atom_site_type_symbol
_atom_site_fract_x
_atom_site_fract_y
_atom_site_fract_z
_atom_site_occupancy
Re1 Re 0.000 0.000 0.500 1
Sn1 Sn 0.500 0.500 0.500 1
O1 O 0.000 0.000 0.000 1


# Sr7Re4O19 | Alexandria via LeMat-Bulk | meta-GGA SCAN | PBEsol geometry
# final energy: -1268.3 eV for the cell shown
# raw formation energy: -2514.4 meV per atom
data_Sr7Re4O19
_chemical_formula_sum 'Sr14 Re8 O38'
_symmetry_space_group_name_H-M 'C 1 2/m 1'
_symmetry_Int_Tables_number 12
_symmetry_space_group_name_Hall '-C 2y'
_cell_length_a 13.612
_cell_length_b 5.552
_cell_length_c 10.382
_cell_angle_alpha 90.00
_cell_angle_beta 98.73
_cell_angle_gamma 90.00
loop_
_atom_site_label
_atom_site_type_symbol
_atom_site_fract_x
_atom_site_fract_y
_atom_site_fract_z
_atom_site_occupancy
Sr1 Sr 0.000 0.000 0.000 1
Sr2 Sr 0.084 0.000 0.664 1
Sr3 Sr 0.141 0.500 0.457 1
Sr4 Sr 0.211 0.500 0.088 1
Re1 Re 0.034 0.500 0.823 1
Re2 Re 0.170 0.000 0.280 1
O1 O 0.000 0.500 0.000 1
O2 O 0.046 0.500 0.645 1
O3 O 0.071 0.254 0.216 1
O4 O 0.102 0.000 0.431 1
O5 O 0.126 0.253 0.874 1
O6 O 0.196 0.000 0.112 1
O7 O 0.242 0.259 0.653 1


# Sr3ReO | Alexandria via LeMat-Bulk | meta-GGA SCAN | PBEsol geometry
# final energy: -146.0 eV for the cell shown
# raw formation energy: -372.9 meV per atom
data_Sr3ReO
_chemical_formula_sum 'Sr3 Re1 O1'
_symmetry_space_group_name_H-M 'P m -3 m'
_symmetry_Int_Tables_number 221
_symmetry_space_group_name_Hall '-P 4 2 3'
_cell_length_a 4.963
_cell_length_b 4.963
_cell_length_c 4.963
_cell_angle_alpha 90.00
_cell_angle_beta 90.00
_cell_angle_gamma 90.00
loop_
_atom_site_label
_atom_site_type_symbol
_atom_site_fract_x
_atom_site_fract_y
_atom_site_fract_z
_atom_site_occupancy
Sr1 Sr 0.000 0.000 0.500 1
Re1 Re 0.500 0.500 0.500 1
O1 O 0.000 0.000 0.000 1


# Sr2TbReO6 | Alexandria via LeMat-Bulk | meta-GGA SCAN | PBEsol geometry
# final energy: -912.3 eV for the cell shown
# raw formation energy: -2828.3 meV per atom
data_Sr2TbReO6
_chemical_formula_sum 'Sr8 Tb4 Re4 O24'
_symmetry_space_group_name_H-M 'F m -3 m'
_symmetry_Int_Tables_number 225
_symmetry_space_group_name_Hall '-F 4 2 3'
_cell_length_a 8.258
_cell_length_b 8.258
_cell_length_c 8.258
_cell_angle_alpha 90.00
_cell_angle_beta 90.00
_cell_angle_gamma 90.00
loop_
_atom_site_label
_atom_site_type_symbol
_atom_site_fract_x
_atom_site_fract_y
_atom_site_fract_z
_atom_site_occupancy
Sr1 Sr 0.250 0.250 0.250 1
Tb1 Tb 0.000 0.000 0.000 1
Re1 Re 0.000 0.000 0.500 1
O1 O 0.000 0.000 0.265 1


# Sr2YReO6 | Alexandria via LeMat-Bulk | meta-GGA SCAN | PBEsol geometry
# final energy: -837.5 eV for the cell shown
# raw formation energy: -2848.9 meV per atom
data_Sr2YReO6
_chemical_formula_sum 'Sr8 Y4 Re4 O24'
_symmetry_space_group_name_H-M 'F m -3 m'
_symmetry_Int_Tables_number 225
_symmetry_space_group_name_Hall '-F 4 2 3'
_cell_length_a 8.228
_cell_length_b 8.228
_cell_length_c 8.228
_cell_angle_alpha 90.00
_cell_angle_beta 90.00
_cell_angle_gamma 90.00
loop_
_atom_site_label
_atom_site_type_symbol
_atom_site_fract_x
_atom_site_fract_y
_atom_site_fract_z
_atom_site_occupancy
Sr1 Sr 0.250 0.250 0.250 1
Y1 Y 0.000 0.000 0.000 1
Re1 Re 0.000 0.000 0.500 1
O1 O 0.000 0.000 0.264 1


# Sr2ZnReO6 | Alexandria via LeMat-Bulk | meta-GGA SCAN | PBEsol geometry
# final energy: -380.4 eV for the cell shown
# raw formation energy: -2365.2 meV per atom
data_Sr2ZnReO6
_chemical_formula_sum 'Sr4 Zn2 Re2 O12'
_symmetry_space_group_name_H-M 'P 1 21/c 1'
_symmetry_Int_Tables_number 14
_symmetry_space_group_name_Hall '-P 2ybc'
_cell_length_a 5.609
_cell_length_b 5.582
_cell_length_c 9.673
_cell_angle_alpha 90.00
_cell_angle_beta 125.34
_cell_angle_gamma 90.00
loop_
_atom_site_label
_atom_site_type_symbol
_atom_site_fract_x
_atom_site_fract_y
_atom_site_fract_z
_atom_site_occupancy
Sr1 Sr 0.247 0.021 0.250 1
Zn1 Zn 0.500 0.000 0.000 1
Re1 Re 0.000 0.000 0.500 1
O1 O 0.184 0.234 0.970 1
O2 O 0.235 0.716 0.971 1
O3 O 0.297 0.007 0.740 1


# TaRe2O | Alexandria via LeMat-Bulk | meta-GGA SCAN | PBEsol geometry
# final energy: -846.7 eV for the cell shown
# raw formation energy: 834.0 meV per atom
data_TaRe2O
_chemical_formula_sum 'Ta4 Re8 O4'
_symmetry_space_group_name_H-M 'F m -3 m'
_symmetry_Int_Tables_number 225
_symmetry_space_group_name_Hall '-F 4 2 3'
_cell_length_a 6.099
_cell_length_b 6.099
_cell_length_c 6.099
_cell_angle_alpha 90.00
_cell_angle_beta 90.00
_cell_angle_gamma 90.00
loop_
_atom_site_label
_atom_site_type_symbol
_atom_site_fract_x
_atom_site_fract_y
_atom_site_fract_z
_atom_site_occupancy
Ta1 Ta 0.000 0.000 0.000 1
Re1 Re 0.250 0.250 0.250 1
O1 O 0.000 0.000 0.500 1


Which formula does entry 12 have? TaRe2O


What is the formula in the tenth record? Sr2YReO6